Computed, not measured: a relaxed Ba2ZnCoO4 crystal at the PBE with a Hubbard U level of DFT.

a = 5.587 Å, b = 5.587 Å, c = 5.587 Å
α = 99.06°, β = 114.92°, γ = 114.92°
Fractional positions:
O: 0.917 0.534 0.121
O: 0.413 0.879 0.795
O: 0.083 0.205 0.617
O: 0.587 0.383 0.466
Zn: 0.000 0.500 0.500
Co: 0.500 0.250 0.750
Ba: 0.500 0.750 0.250
Ba: 0.000 0.000 0.000

Properties
E, eV/atom: -5.57
Total magnetic moment, μB per formula unit: 3.01
SG: No. 82
Calculated density, Mg/m³: 5.9
Crystal system: tetragonal
Fermi-level density of states, states/eV/f.u.: 0.00